Material: Pr3In3PdAu2
Method: DFT, GGA-PBE
State: optimized geometry

The structure in POSCAR format:
```
Pr3In3PdAu2
1.0
-0.5378 -0.3597 7.8703
3.0137 -6.0833 -4.0338
3.7656 1.6450 0.3325
Pd In Pr Au
1 3 3 2
direct
0.0000 0.0000 0.0000 Pd
0.0000 0.2464 0.5000 In
0.2464 0.0000 0.5000 In
0.7536 0.7536 0.5000 In
0.0000 0.5912 0.0000 Pr
0.5912 0.0000 0.0000 Pr
0.4088 0.4088 0.0000 Pr
0.6667 0.3333 0.5000 Au
0.3333 0.6667 0.5000 Au
```

Its magnetic moment is 0.0 Bohr magnetons per cell. The calculation puts the total energy at -41.12 eV per formula unit. As for the space group: P-62m, No. 189. The calculated density is 9.45 g cm⁻³.